Entry 1:
Density functional theory data (PBE) for a relaxed BaIrCl2 crystal.

Results
For the density of states at the Fermi level, the calculation gives 0.713 states/eV/atom. The calculated volume is 102.1 Å³/f.u. The calculation puts the total energy at -3.995 eV per atom.

a = 4.497 Å, b = 4.190 Å, c = 5.700 Å
α = 90.00°, β = 108.14°, γ = 90.00°
Space group P2/m (No. 10)
Inequivalent atoms, fractional coordinates:
Ba 0.000 0.000 0.000 [1 per cell]
Ir 0.000 0.500 0.500 [1 per cell]
Cl 0.500 0.000 0.500 [1 per cell]
Cl 0.500 0.500 0.000 [1 per cell]

***

Entry 2:
Density functional theory data (PBE) for a relaxed LiCaCd3 crystal.

Results
For the density of states at the Fermi level, the calculation gives 0.483 states/eV/atom. The calculated volume is 119.2 Å³/f.u. For the formation energy, the calculation gives -0.209 eV per atom.

a = 5.690 Å, b = 6.169 Å, c = 7.282 Å
α = 90.00°, β = 111.09°, γ = 90.00°
Space group P2_1/m (No. 11)
Inequivalent atoms, fractional coordinates:
Li 0.098 0.250 0.470 [2 per cell]
Ca 0.295 0.750 0.327 [2 per cell]
Cd 0.225 0.250 0.148 [2 per cell]
Cd 0.269 0.506 0.809 [4 per cell]

***

Entry 3:
Density functional theory data (PBE) for a relaxed Sm4Co3Ru crystal.

Results
For the density of states at the Fermi level, the calculation gives 1.025 states/eV/atom. The calculated volume is 175.1 Å³/f.u. For the formation energy, the calculation gives -0.135 eV per atom.

a = 4.001 Å, b = 4.167 Å, c = 10.507 Å
α = 90.00°, β = 90.00°, γ = 90.00°
Space group Pmm2 (No. 25)
Inequivalent atoms, fractional coordinates:
Sm 0.000 0.000 0.000 [1 per cell]
Sm 0.000 0.500 0.496 [1 per cell]
Sm 0.500 0.000 0.708 [1 per cell]
Sm 0.500 0.500 0.209 [1 per cell]
Co 0.000 0.000 0.300 [1 per cell]
Co 0.500 0.000 0.402 [1 per cell]
Co 0.500 0.500 0.918 [1 per cell]
Ru 0.000 0.500 0.795 [1 per cell]

***

Entry 4:
Density functional theory data (PBE) for a relaxed TbSbI crystal.

Results
The calculated volume is 99.0 Å³/f.u. The calculation puts the total energy at -4.327 eV per atom.

a = 9.864 Å, b = 11.281 Å, c = 7.329 Å
α = 90.00°, β = 103.74°, γ = 90.00°
Space group Cc (No. 9)
Inequivalent atoms, fractional coordinates:
Tb 0.000 0.130 0.000 [4 per cell]
Tb 0.026 0.330 0.477 [4 per cell]
Sb 0.013 0.398 0.054 [4 per cell]
Sb 0.252 0.250 0.250 [4 per cell]
I 0.170 0.097 0.706 [4 per cell]
I 0.334 0.398 0.801 [4 per cell]

***

Entry 5:
Density functional theory data (PBE) for a relaxed LaSm3Dy5 crystal.

Results
For the density of states at the Fermi level, the calculation gives 1.570 states/eV/atom. The calculated volume is 303.5 Å³/f.u. For the formation energy, the calculation gives 0.312 eV per atom.

a = 20.380 Å, b = 6.059 Å, c = 11.349 Å
α = 90.00°, β = 119.98°, γ = 90.00°
Space group C2/c (No. 15)
Inequivalent atoms, fractional coordinates:
La 0.000 0.128 0.250 [4 per cell]
Sm 0.000 0.000 0.000 [4 per cell]
Sm 0.182 0.232 0.346 [8 per cell]
Dy 0.000 0.388 0.750 [4 per cell]
Dy 0.148 0.297 0.657 [8 per cell]
Dy 0.178 0.218 0.029 [8 per cell]

***

Entry 6:
Density functional theory data (PBE) for a relaxed Ta2As crystal.

Results
For the density of states at the Fermi level, the calculation gives 0.651 states/eV/atom. The calculated volume is 51.5 Å³/f.u. For the formation energy, the calculation gives -0.208 eV per atom.

a = 6.058 Å, b = 6.058 Å, c = 5.610 Å
α = 90.00°, β = 90.00°, γ = 90.00°
Space group I4/mcm (No. 140)
Inequivalent atoms, fractional coordinates:
Ta 0.164 0.336 0.000 [8 per cell]
As 0.000 0.000 0.250 [4 per cell]

***

Question: Among the records above, which one has the highest calculated volume?
Answer: LaSm3Dy5

***

What did the fourth record say?
Density functional theory data (PBE) for a relaxed TbSbI crystal.

Results
The calculated volume is 99.0 Å³/f.u. The calculation puts the total energy at -4.327 eV per atom.

a = 9.864 Å, b = 11.281 Å, c = 7.329 Å
α = 90.00°, β = 103.74°, γ = 90.00°
Space group Cc (No. 9)
Inequivalent atoms, fractional coordinates:
Tb 0.000 0.130 0.000 [4 per cell]
Tb 0.026 0.330 0.477 [4 per cell]
Sb 0.013 0.398 0.054 [4 per cell]
Sb 0.252 0.250 0.250 [4 per cell]
I 0.170 0.097 0.706 [4 per cell]
I 0.334 0.398 0.801 [4 per cell]

***

What did the third record say?
Density functional theory data (PBE) for a relaxed Sm4Co3Ru crystal.

Results
For the density of states at the Fermi level, the calculation gives 1.025 states/eV/atom. The calculated volume is 175.1 Å³/f.u. For the formation energy, the calculation gives -0.135 eV per atom.

a = 4.001 Å, b = 4.167 Å, c = 10.507 Å
α = 90.00°, β = 90.00°, γ = 90.00°
Space group Pmm2 (No. 25)
Inequivalent atoms, fractional coordinates:
Sm 0.000 0.000 0.000 [1 per cell]
Sm 0.000 0.500 0.496 [1 per cell]
Sm 0.500 0.000 0.708 [1 per cell]
Sm 0.500 0.500 0.209 [1 per cell]
Co 0.000 0.000 0.300 [1 per cell]
Co 0.500 0.000 0.402 [1 per cell]
Co 0.500 0.500 0.918 [1 per cell]
Ru 0.000 0.500 0.795 [1 per cell]

***

Question: calculated volume of number 5 (LaSm3Dy5)?
Answer: 303.5 Å³/f.u.